1.
Below is a relaxed structure of K3AsP3Se9, with properties calculated at the GGA-PBE level.

Unit cell a=8.3960 b=23.5694 c=12.4585 alpha=90.00 beta=122.03 gamma=90.00
Closest atoms and distances in Å follow each position.
Space group P2_1/c (No. 14)
Symmetry-distinct sites (fractional):
K (0.0986, 0.1956, 0.2410) (multiplicity 4)  7 Se 3.38-3.69
K (0.1612, 0.0228, 0.7930) (multiplicity 4)  6 Se 3.35-3.64
K (0.3792, 0.6745, 0.7653) (multiplicity 4)  7 Se 3.41-3.80
As (0.4930, 0.5741, 0.2637) (multiplicity 4)  3 Se 2.44-2.54
P (0.2379, 0.1759, 0.9658) (multiplicity 4)  3 Se 2.17-2.32, 1 P 2.30
P (0.3675, 0.0231, 0.4254) (multiplicity 4)  3 Se 2.15-2.30, 1 P 2.28
P (0.4487, 0.6646, 0.4623) (multiplicity 4)  3 Se 2.16-2.27, 1 P 2.30
Se (0.0675, 0.1623, 0.7628) (multiplicity 4)  1 P 2.17
Se (0.1732, 0.0351, 0.4858) (multiplicity 4)  1 P 2.15
Se (0.1898, 0.0975, 0.0582) (multiplicity 4)  1 P 2.32, 1 As 2.46
Se (0.1948, 0.2442, 0.5328) (multiplicity 4)  1 P 2.17
Se (0.2752, 0.5196, 0.7448) (multiplicity 4)  1 P 2.20
Se (0.3265, 0.6662, 0.2504) (multiplicity 4)  1 P 2.27, 1 As 2.54
Se (0.3517, 0.7394, 0.5110) (multiplicity 4)  1 P 2.16
Se (0.4049, 0.5828, 0.5238) (multiplicity 4)  1 P 2.18
Se (0.4961, 0.1081, 0.4176) (multiplicity 4)  1 P 2.30, 1 As 2.44

Summary:
Its total magnetization is 0.000 μB/cell. The raw formation energy comes out at -520 meV/atom. Its total energy is -3.990 eV per atom. The mass density comes out at 3.2 Mg/m³.

=====

2.
Below is a relaxed structure of Th2ZrBi2N2, with properties calculated at the GGA-PBE level.

Unit cell a=4.3443 b=4.3443 c=16.6031 alpha=90.00 beta=90.00 gamma=90.00
Closest atoms and distances in Å follow each position.
Space group I4/mmm (No. 139)
Symmetry-distinct sites (fractional):
Th (0.0000, 0.0000, 0.1012) (multiplicity 4)  4 N 2.75
Zr (0.0000, 0.0000, 0.5000) (multiplicity 2)  4 N 2.17
Bi (0.0000, 0.0000, 0.3115) (multiplicity 4)  1 Zr 3.13, 5 Th 3.40-3.49
N (0.0000, 0.5000, 0.0000) (multiplicity 4)  2 Zr 2.17

Summary:
Its total magnetization is 0.000 μB/cell. The raw formation energy comes out at -1012 meV/atom. Its total energy is -7.841 eV per atom. The mass density comes out at 10.6 Mg/m³.

=====

3.
Below is a relaxed structure of K2LiSc, with properties calculated at the GGA-PBE level.

Unit cell a=3.5297 b=6.8653 c=13.7570 alpha=90.00 beta=90.00 gamma=90.00
Closest atoms and distances in Å follow each position.
Space group Imm2 (No. 44)
Symmetry-distinct sites (fractional):
K (0.0000, 0.0000, 0.0000) (multiplicity 2)  2 K 3.53, 2 Li 3.79
K (0.0000, 0.5000, 0.2103) (multiplicity 2)  2 K 3.53, 4 Li 3.89
Li (0.0000, 0.5000, 0.7440) (multiplicity 2)  2 Sc 3.10
Sc (0.0000, 0.0000, 0.4288) (multiplicity 2)  2 Li 3.10

Summary:
Its total magnetization is 3.146 μB/cell. Its total energy is -2.101 eV per atom. The value obtained for the formation energy is 0.51 eV per atom. The mass density comes out at 1.3 Mg/m³.

=====

4.
Below is a relaxed structure of DyBeAl2Pt4, with properties calculated at the GGA-PBE level.

Unit cell a=4.2356 b=4.2356 c=25.1496 alpha=90.00 beta=90.00 gamma=120.00
Closest atoms and distances in Å follow each position.
Space group R-3m (No. 166, hexagonal axes)
Symmetry-distinct sites (fractional):
Dy (0.0000, 0.0000, 0.0000) (multiplicity 3)  6 Pt 3.05, 6 Al 3.38
Be (0.0000, 0.0000, 0.5000) (multiplicity 3)  8 Pt 2.37-2.56
Al (0.0000, 0.0000, 0.2407) (multiplicity 6)  7 Pt 2.50-2.68
Pt (0.0000, 0.0000, 0.1364) (multiplicity 6)  3 Be 2.56, 4 Al 2.62-2.68
Pt (0.0000, 0.0000, 0.4056) (multiplicity 6)  1 Be 2.37, 3 Al 2.50

Summary:
Its total magnetization is 0.000 μB/cell. Its total energy is -6.032 eV per atom. The value obtained for the formation energy is -1.03 eV per atom. The mass density comes out at 12.8 Mg/m³.

=====

5.
Below is a relaxed structure of PrDyHo4Se8, with properties calculated at the GGA-PBE level.

Unit cell a=8.4468 b=8.4468 c=20.7176 alpha=90.00 beta=90.00 gamma=120.00
Closest atoms and distances in Å follow each position.
Space group R3m (No. 160, hexagonal axes)
Symmetry-distinct sites (fractional):
Pr (0.0000, 0.0000, 0.0000) (multiplicity 3)  4 Se 2.83
Dy (0.0000, 0.0000, 0.6243) (multiplicity 3)  6 Se 2.88-2.91
Ho (0.0000, 0.0000, 0.2504) (multiplicity 3)  4 Se 2.73
Ho (0.0027, 0.5013, 0.1256) (multiplicity 9)  6 Se 2.86-2.89
Se (0.0000, 0.0000, 0.3823) (multiplicity 3)  4 Ho 2.73-2.89
Se (0.0000, 0.0000, 0.8632) (multiplicity 3)  1 Pr 2.83, 3 Ho 2.86
Se (0.0306, 0.5153, 0.3797) (multiplicity 9)  1 Pr 2.83, 2 Ho 2.86, 1 Dy 2.88
Se (0.1755, 0.3509, 0.2059) (multiplicity 9)  3 Ho 2.73-2.89, 1 Dy 2.91

Summary:
Its total magnetization is 0.000 μB/cell. The raw formation energy comes out at -1707 meV/atom. Its total energy is -5.676 eV per atom. The mass density comes out at 6.2 Mg/m³.

=====

6.
Below is a relaxed structure of Li3SiMo, with properties calculated at the GGA-PBE level.

Unit cell a=4.8577 b=4.8577 c=4.8577 alpha=90.00 beta=90.00 gamma=90.00
Closest atoms and distances in Å follow each position.
Space group Pm-3m (No. 221)
Symmetry-distinct sites (fractional):
Li (0.0000, 0.0000, 0.5000) (multiplicity 3)  2 Mo 2.43
Si (0.5000, 0.5000, 0.5000) (multiplicity 1)  12 Li 3.43
Mo (0.0000, 0.0000, 0.0000) (multiplicity 1)  6 Li 2.43

Summary:
Its total magnetization is 4.115 μB/cell. The raw formation energy comes out at 1447 meV/atom. Its total energy is -2.952 eV per atom. The mass density comes out at 2.1 Mg/m³. As for the energy above the lowest structure with this stoichiometry: 0.3927 eV per atom.

=====

7.
Below is a relaxed structure of Li8Mg2Ir, with properties calculated at the GGA-PBE level.

Unit cell a=13.1868 b=6.7966 c=5.0585 alpha=90.00 beta=102.50 gamma=90.00
Closest atoms and distances in Å follow each position.
Space group C2/m (No. 12)
Symmetry-distinct sites (fractional):
Li (0.0637, 0.1969, 0.3177) (multiplicity 8)  1 Ir 2.48, 2 Li 2.68-2.75, 1 Mg 2.77
Li (0.1491, 0.0000, 0.8564) (multiplicity 4)  8 Li 3.03-3.11, 1 Mg 3.10
Li (0.2128, 0.5000, 0.5708) (multiplicity 4)  1 Ir 2.75, 2 Mg 2.79-2.92, 3 Li 2.94-3.07
Mg (0.1103, 0.5000, 0.9991) (multiplicity 4)  1 Ir 2.63, 4 Li 2.77-2.92, 1 Mg 2.91
Ir (0.0000, 0.5000, 0.5000) (multiplicity 2)  6 Li 2.48-2.75, 2 Mg 2.63

Summary:
Its total magnetization is 0.000 μB/cell. Its total energy is -2.455 eV per atom. The value obtained for the formation energy is 0.03 eV per atom. The mass density comes out at 2.2 Mg/m³.

=====

8.
Below is a relaxed structure of FeMoOs, with properties calculated at the GGA-PBE level.

Unit cell a=2.6831 b=2.6831 c=11.3833 alpha=90.00 beta=90.00 gamma=90.00
Closest atoms and distances in Å follow each position.
Space group I4mm (No. 107)
Symmetry-distinct sites (fractional):
Fe (0.0000, 0.0000, 0.0000) (multiplicity 2)  4 Os 2.52, 4 Fe 2.68, 4 Mo 2.70
Mo (0.0000, 0.0000, 0.6683) (multiplicity 2)  4 Mo 2.68, 4 Fe 2.70, 4 Os 2.84
Os (0.0000, 0.0000, 0.3537) (multiplicity 2)  4 Fe 2.52, 4 Os 2.68

Summary:
Its total magnetization is 1.521 μB/cell. Its total energy is -10.044 eV per atom. The value obtained for the formation energy is 0.13 eV per atom. The mass density comes out at 13.9 Mg/m³. As for the energy above the lowest structure with this stoichiometry: 0.0023 eV per atom.

=====

9.
Below is a relaxed structure of Y2ScHgS, with properties calculated at the GGA-PBE level.

Unit cell a=5.1638 b=5.1638 c=4.8209 alpha=90.00 beta=90.00 gamma=90.00
Closest atoms and distances in Å follow each position.
Space group P4/mmm (No. 123)
Symmetry-distinct sites (fractional):
Y (0.0000, 0.5000, 0.0000) (multiplicity 2)  2 S 2.58
Sc (0.0000, 0.0000, 0.5000) (multiplicity 1)  2 S 2.41
Hg (0.5000, 0.5000, 0.5000) (multiplicity 1)  8 Y 3.53, 4 Sc 3.65
S (0.0000, 0.0000, 0.0000) (multiplicity 1)  2 Sc 2.41, 4 Y 2.58

Summary:
Its total magnetization is 0.000 μB/cell. The raw formation energy comes out at -833 meV/atom. Its total energy is -5.571 eV per atom. The mass density comes out at 5.9 Mg/m³.

=====

10.
Below is a relaxed structure of Ni7Pd2Rh2, with properties calculated at the GGA-PBE level.

Unit cell a=4.7992 b=8.1509 c=7.1774 alpha=90.00 beta=94.90 gamma=90.00
Closest atoms and distances in Å follow each position.
Space group C2/m (No. 12)
Symmetry-distinct sites (fractional):
Ni (0.0000, 0.0000, 0.0000) (multiplicity 2)  2 Pd 2.38, 6 Ni 2.40-2.49
Ni (0.0527, 0.5000, 0.8220) (multiplicity 4)  5 Ni 2.35-2.40, 1 Pd 2.57
Ni (0.1918, 0.2514, 0.1620) (multiplicity 8)  6 Ni 2.35-2.49, 1 Pd 2.61
Pd (0.0469, 0.0000, 0.6727) (multiplicity 4)  4 Ni 2.38-2.61, 1 Pd 2.48
Rh (0.0000, 0.3307, 0.5000) (multiplicity 4)  6 Ni 2.68-2.81, 3 Rh 2.74-2.76, 4 Pd 2.94-2.97

Summary:
Its total magnetization is 15.128 μB/cell. Its total energy is -5.804 eV per atom. The value obtained for the formation energy is 0.16 eV per atom. The mass density comes out at 9.8 Mg/m³.